An optimized crystal structure of Rb2GeBr6Cl, computed with PBE-GGA.

```
data_Rb2GeBr6Cl
_chemical_formula_sum 'Rb4 Ge2 Br12 Cl2'
_cell_length_a 8.0975
_cell_length_b 8.0975
_cell_length_c 10.6637
_cell_angle_alpha 90.00
_cell_angle_beta 90.00
_cell_angle_gamma 90.00
_space_group_name_H-M_alt 'I 4/m m m'
_space_group_IT_number 139
_space_group_name_Hall '-I 4 2'
loop_
_atom_site_label
_atom_site_fract_x
_atom_site_fract_y
_atom_site_fract_z
_atom_site_occupancy
Rb1 0.0000 0.5000 0.2500 1
Ge1 0.0000 0.0000 0.0000 1
Br1 0.0000 0.0000 0.2417 1
Br2 0.2208 0.2208 0.0000 1
Cl1 0.0000 0.0000 0.5000 1
```

Results
E_tot: -2.71 eV per atom
DOS at the Fermi energy: 0.6351 states/eV per atom
Crystal system: tetragonal
Formation energy (no corrections): -0.870 eV/atom



An optimized crystal structure of CaTl2CrCu, computed with PBE-GGA.

```
data_CaTl2CrCu
_chemical_formula_sum 'Ca1 Tl2 Cr1 Cu1'
_cell_length_a 5.1322
_cell_length_b 5.1322
_cell_length_c 4.9682
_cell_angle_alpha 90.00
_cell_angle_beta 90.00
_cell_angle_gamma 90.00
_space_group_name_H-M_alt 'P 4/m m m'
_space_group_IT_number 123
_space_group_name_Hall '-P 4 2'
loop_
_atom_site_label
_atom_site_fract_x
_atom_site_fract_y
_atom_site_fract_z
_atom_site_occupancy
Ca1 0.0000 0.0000 0.0000 1
Tl1 0.0000 0.5000 0.5000 1
Cr1 0.5000 0.5000 0.0000 1
Cu1 0.5000 0.5000 0.5000 1
```

Results
E_tot: -3.74 eV per atom
E_form: 0.353 eV per atom
DOS at the Fermi energy: 0.6689 states/eV per atom
Crystal system: tetragonal



An optimized crystal structure of Mg2Ti2PbO7, computed with PBE-GGA.

```
data_Mg2Ti2PbO7
_chemical_formula_sum 'Mg4 Ti4 Pb2 O14'
_cell_length_a 3.9862
_cell_length_b 16.7046
_cell_length_c 4.2570
_cell_angle_alpha 90.00
_cell_angle_beta 90.00
_cell_angle_gamma 90.00
_space_group_name_H-M_alt 'I m m 2'
_space_group_IT_number 44
loop_
_space_group_symop_operation_xyz
'x,y,z'
'-x,-y,z'
'-x,y,z'
'x,-y,z'
'x+1/2,y+1/2,z+1/2'
'-x+1/2,-y+1/2,z+1/2'
'-x+1/2,y+1/2,z+1/2'
'x+1/2,-y+1/2,z+1/2'
loop_
_atom_site_label
_atom_site_fract_x
_atom_site_fract_y
_atom_site_fract_z
_atom_site_occupancy
Mg1 0.0000 0.2485 0.0000 1
Ti1 0.0000 0.1143 0.4449 1
Pb1 0.0000 0.5000 0.4038 1
O1 0.0000 0.0000 0.5375 1
O2 0.0000 0.1198 0.0261 1
O3 0.0000 0.2320 0.5062 1
O4 0.0000 0.3815 0.0113 1
```

Results
E_tot: -7.39 eV per atom
DOS at the Fermi energy: 0.0000 states/eV per atom
Crystal system: orthorhombic
Formation energy (no corrections): -2.605 eV/atom



An optimized crystal structure of ZrBe2Te, computed with PBE-GGA.

```
data_ZrBe2Te
_chemical_formula_sum 'Zr1 Be2 Te1'
_cell_length_a 4.1829
_cell_length_b 4.1829
_cell_length_c 3.6877
_cell_angle_alpha 90.00
_cell_angle_beta 90.00
_cell_angle_gamma 90.00
_space_group_name_H-M_alt 'P 4/m m m'
_space_group_IT_number 123
_space_group_name_Hall '-P 4 2'
loop_
_atom_site_label
_atom_site_fract_x
_atom_site_fract_y
_atom_site_fract_z
_atom_site_occupancy
Zr1 0.0000 0.0000 0.0000 1
Be1 0.0000 0.5000 0.5000 1
Te1 0.5000 0.5000 0.0000 1
```

Results
E_tot: -4.64 eV per atom
DOS at the Fermi energy: 0.5847 states/eV per atom
Crystal system: tetragonal
Formation energy (no corrections): 0.150 eV/atom



An optimized crystal structure of MgZrAl2P, computed with PBE-GGA.

```
data_MgZrAl2P
_chemical_formula_sum 'Mg1 Zr1 Al2 P1'
_cell_length_a 4.6985
_cell_length_b 4.6985
_cell_length_c 5.3372
_cell_angle_alpha 90.00
_cell_angle_beta 90.00
_cell_angle_gamma 90.00
_space_group_name_H-M_alt 'P 4/m m m'
_space_group_IT_number 123
_space_group_name_Hall '-P 4 2'
loop_
_atom_site_label
_atom_site_fract_x
_atom_site_fract_y
_atom_site_fract_z
_atom_site_occupancy
Mg1 0.0000 0.0000 0.0000 1
Zr1 0.0000 0.0000 0.5000 1
Al1 0.0000 0.5000 0.0000 1
P1 0.5000 0.5000 0.5000 1
```

Results
E_tot: -3.55 eV per atom
E_form: 1.055 eV per atom
DOS at the Fermi energy: 0.8670 states/eV per atom
Crystal system: tetragonal



An optimized crystal structure of InNiW4, computed with PBE-GGA.

```
data_InNiW4
_chemical_formula_sum 'In4 Ni4 W16'
_cell_length_a 7.4981
_cell_length_b 7.4981
_cell_length_c 7.4981
_cell_angle_alpha 90.00
_cell_angle_beta 90.00
_cell_angle_gamma 90.00
_space_group_name_H-M_alt 'F -4 3 m'
_space_group_IT_number 216
_space_group_name_Hall 'F -4 2 3'
loop_
_atom_site_label
_atom_site_fract_x
_atom_site_fract_y
_atom_site_fract_z
_atom_site_occupancy
In1 0.0000 0.0000 0.0000 1
Ni1 0.2500 0.2500 0.7500 1
W1 0.1248 0.1248 0.3752 1
```

Results
E_tot: -9.33 eV per atom
E_form: 0.725 eV per atom
DOS at the Fermi energy: 1.1361 states/eV per atom
Crystal system: cubic